# YGe2IrRu | Alexandria via LeMat-Bulk | PBE-GGA | relaxed
# DOS(E_F) ... 0.444 states/eV per atom
# VASP energy ... -75.00 eV for the cell shown
# Size of the total moment ... 0.00 μB/f.u.
# Energy of formation ... -732.6 meV per atom
data_YGe2IrRu
_chemical_formula_sum 'Y2 Ge4 Ir2 Ru2'
_cell_length_a 4.223
_cell_length_b 4.223
_cell_length_c 10.075
_cell_angle_alpha 90.00
_cell_angle_beta 90.00
_cell_angle_gamma 90.00
_space_group_name_H-M_alt 'I -4 m 2'
_space_group_IT_number 119
_space_group_name_Hall 'I -4 -2'
loop_
_atom_site_label
_atom_site_fract_x
_atom_site_fract_y
_atom_site_fract_z
Y1 0.000 0.000 0.000
Ge1 0.000 0.000 0.374
Ir1 0.000 0.500 0.250
Ru1 0.000 0.500 0.750